Entry 1:
Density functional theory data (GGA-PBE) for a relaxed SrU2PaS8 crystal.

Cell lengths 6.234, 8.300, 6.437 Å; angles 90.00, 90.71, 90.00 degrees
Positions (direct):
Sr 0.000 0.000 0.000
U 0.500 0.251 0.500
U 0.500 0.749 0.500
Pa 0.000 0.500 0.000
S 0.237 0.276 0.171
S 0.237 0.724 0.171
S 0.279 0.500 0.669
S 0.286 0.000 0.639
S 0.714 0.000 0.361
S 0.721 0.500 0.331
S 0.763 0.276 0.829
S 0.763 0.724 0.829

Computed properties:
- ΔE_f (raw): -1.4425 eV per atom
- SG: No. 10
- DFT total energy: -7.01 eV per atom



Entry 2:
Density functional theory data (GGA-PBE) for a relaxed SrPa2VS8 crystal.

Cell lengths 5.942, 8.212, 6.270 Å; angles 90.00, 92.17, 90.00 degrees
Positions (direct):
Sr 0.000 0.000 0.000
Pa 0.500 0.256 0.500
Pa 0.500 0.744 0.500
V 0.000 0.500 0.000
S 0.228 0.299 0.166
S 0.228 0.701 0.166
S 0.266 0.500 0.677
S 0.274 0.000 0.631
S 0.726 0.000 0.369
S 0.734 0.500 0.323
S 0.772 0.299 0.834
S 0.772 0.701 0.834

Computed properties:
- ΔE_f (raw): -1.2991 eV per atom
- SG: No. 10
- DFT total energy: -6.53 eV per atom



Listing magnetization for the structures above in their given order: 3.01 1.00 Bohr magnetons per cell.
Listing DOS at the Fermi energy for the structures above in their given order: 6.7 5.6 states/eV/f.u..